(1)
Ca2Al2Pd, relaxed, DFT GGA-PBE; ΔE_f = 0.11 eV/atom; theoretical density = 3.2 g/cm³; offset from the most stable computed form = 239 kJ/mol of formula units
1.0
8.6860 0.0000 0.0000
0.0000 8.6860 0.0000
0.0000 0.0000 3.3377
Ca Al Pd
4 4 2
Direct
0.3075 0.8075 0.0000
0.8075 0.6925 0.0000
0.6925 0.1925 0.0000
0.1925 0.3075 0.0000
0.1022 0.6022 0.5000
0.6022 0.8978 0.5000
0.8978 0.3978 0.5000
0.3978 0.1022 0.5000
0.0000 0.0000 0.0000
0.5000 0.5000 0.0000



(2)
CaAl2Pd, relaxed, DFT GGA-PBE; ΔE_f = -0.53 eV/atom; theoretical density = 4.3 g/cm³
1.0
3.1956 0.0000 0.0000
0.0000 3.1956 0.0000
0.0000 0.0000 7.5254
Ca Al Pd
1 2 1
Direct
0.5000 0.5000 0.5000
0.0000 0.0000 0.8102
0.0000 0.0000 0.1898
0.5000 0.5000 0.0000



(3)
CaAl10Pd2, relaxed, DFT GGA-PBE; ΔE_f = -0.38 eV/atom; theoretical density = 3.9 g/cm³
1.0
6.8949 0.0889 0.0000
-0.9329 6.8321 0.0000
0.0000 0.0000 9.4224
Ca Al Pd
2 20 4
Direct
0.8755 0.1245 0.7500
0.1245 0.8755 0.2500
0.3996 0.1388 0.7500
0.6004 0.8612 0.2500
0.8612 0.6004 0.7500
0.1388 0.3996 0.2500
0.5231 0.7663 0.7500
0.4769 0.2337 0.2500
0.2337 0.4769 0.7500
0.7663 0.5231 0.2500
0.8425 0.1575 0.3956
0.1575 0.8425 0.8956
0.8425 0.1575 0.1044
0.1575 0.8425 0.6044
0.6153 0.3847 0.9398
0.3847 0.6153 0.4398
0.6153 0.3847 0.5602
0.3847 0.6153 0.0602
0.7805 0.7805 0.0000
0.2195 0.2195 0.5000
0.2195 0.2195 0.0000
0.7805 0.7805 0.5000
0.5000 0.0000 0.0000
0.5000 0.0000 0.5000
0.0000 0.5000 0.5000
0.0000 0.5000 0.0000



(4)
Ca2Al2Pd, relaxed, DFT GGA-PBE; ΔE_f = -0.39 eV/atom; theoretical density = 3.4 g/cm³; offset from the most stable computed form = 0 kJ/mol of formula units
1.0
-4.7836 -3.7656 3.1555
4.6721 -2.1249 4.5470
-1.0938 3.8321 2.9147
Ca Al Pd
4 4 2
Direct
0.1752 0.6752 0.5000
0.6752 0.8248 0.5000
0.8248 0.3248 0.5000
0.3248 0.1752 0.5000
0.3630 0.8630 0.0000
0.8630 0.6370 0.0000
0.6370 0.1370 0.0000
0.1370 0.3630 0.0000
0.0000 0.0000 0.0000
0.5000 0.5000 0.0000



(5)
CaAl2Pd2, relaxed, DFT GGA-PBE; ΔE_f = -0.70 eV/atom; theoretical density = 5.8 g/cm³
1.0
-6.4044 3.7446 -1.9293
-2.3155 -0.1966 7.3048
1.3679 2.5989 0.5036
Ca Al Pd
2 4 4
Direct
0.0000 0.0000 0.0000
0.5000 0.5000 0.0000
0.1425 0.6425 0.5000
0.6425 0.8575 0.5000
0.8575 0.3575 0.5000
0.3575 0.1425 0.5000
0.3526 0.8526 0.0000
0.8526 0.6474 0.0000
0.6474 0.1474 0.0000
0.1474 0.3526 0.0000



(6)
CaAl3Pd3, relaxed, DFT GGA-PBE; ΔE_f = -0.41 eV/atom; theoretical density = 4.6 g/cm³
1.0
6.8034 0.0000 0.0000
0.0000 6.8034 0.0000
0.0000 0.0000 6.8034
Ca Al Pd
2 6 6
Direct
0.5000 0.5000 0.5000
0.0000 0.0000 0.0000
0.0000 0.2500 0.5000
0.0000 0.7500 0.5000
0.5000 0.0000 0.7500
0.7500 0.5000 0.0000
0.5000 0.0000 0.2500
0.2500 0.5000 0.0000
0.2500 0.0000 0.5000
0.0000 0.5000 0.2500
0.5000 0.7500 0.0000
0.7500 0.0000 0.5000
0.0000 0.5000 0.7500
0.5000 0.2500 0.0000



(7)
CaAl5Pd3, relaxed, DFT GGA-PBE; ΔE_f = -0.66 eV/atom; theoretical density = 4.9 g/cm³
1.0
-0.0680 3.3506 2.3455
-6.1070 -2.9187 0.4254
3.9693 -6.8601 9.9147
Ca Al Pd
2 10 6
Direct
0.8460 0.6920 0.7500
0.1540 0.3080 0.2500
0.7980 0.5960 0.4416
0.2020 0.4040 0.9416
0.0000 0.0000 0.5000
0.0000 0.0000 0.0000
0.4321 0.8643 0.1482
0.5679 0.1357 0.8518
0.5679 0.1357 0.6482
0.7980 0.5960 0.0584
0.2020 0.4040 0.5584
0.4321 0.8643 0.3518
0.3933 0.7865 0.9531
0.8627 0.7254 0.2500
0.3933 0.7865 0.5469
0.6067 0.2135 0.4531
0.1373 0.2746 0.7500
0.6067 0.2135 0.0469



(8)
Ca2AlPd, relaxed, DFT GGA-PBE; ΔE_f = -0.10 eV/atom; theoretical density = 3.4 g/cm³
1.0
8.2046 0.0000 0.0000
0.0000 8.2046 0.0000
4.1023 4.1023 3.0860
Ca Al Pd
4 2 2
Direct
0.6676 0.1250 0.2500
0.0824 0.6250 0.2500
0.3750 0.3324 0.7500
0.8750 0.9176 0.7500
0.5000 0.5000 0.0000
0.2500 0.7500 0.5000
0.0000 0.0000 0.0000
0.7500 0.2500 0.5000



(9)
CaAl12Pd4, relaxed, DFT GGA-PBE; ΔE_f = -0.16 eV/atom; theoretical density = 3.8 g/cm³
1.0
7.6259 0.0000 0.0000
-2.5420 7.1898 0.0000
-2.5420 -3.5949 6.2265
Ca Al Pd
1 12 4
Direct
0.0000 0.0000 0.0000
0.8412 0.3442 0.1854
0.3442 0.5030 0.1588
0.8146 0.1588 0.6558
0.3442 0.1854 0.8412
0.1854 0.8412 0.3442
0.6558 0.4970 0.8412
0.5030 0.1588 0.3442
0.4970 0.8412 0.6558
0.6558 0.8146 0.1588
0.8412 0.6558 0.4970
0.1588 0.3442 0.5030
0.1588 0.6558 0.8146
0.0000 0.5000 0.0000
0.5000 0.0000 0.0000
0.5000 0.5000 0.5000
0.0000 0.0000 0.5000



(10)
CaAl8Pd2, relaxed, DFT GGA-PBE; ΔE_f = -0.02 eV/atom; theoretical density = 2.9 g/cm³
1.0
5.7420 0.0000 0.0000
0.0000 5.7420 0.0000
0.0000 0.0000 8.1732
Ca Al Pd
1 8 2
Direct
0.5000 0.5000 0.5000
0.7527 0.7527 0.1879
0.7527 0.2473 0.8121
0.7527 0.7527 0.8121
0.7527 0.2473 0.1879
0.2473 0.7527 0.1879
0.2473 0.7527 0.8121
0.2473 0.2473 0.1879
0.2473 0.2473 0.8121
0.5000 0.0000 0.0000
0.0000 0.5000 0.0000



(11)
Ca2Al2Pd, relaxed, DFT GGA-PBE; ΔE_f = -0.20 eV/atom; theoretical density = 3.2 g/cm³; offset from the most stable computed form = 89 kJ/mol of formula units
1.0
-0.7953 1.5910 3.2682
-1.1079 -3.2924 1.3332
7.3960 -2.5101 5.1399
Ca Al Pd
2 2 1
Direct
0.4050 0.4050 0.1900
0.5950 0.5950 0.8100
0.7500 0.2500 0.5000
0.2500 0.7500 0.5000
0.0000 0.0000 0.0000



(12)
CaAl2Pd, relaxed, DFT GGA-PBE; ΔE_f = -0.24 eV/atom; theoretical density = 3.2 g/cm³
1.0
-1.0062 3.9951 -2.7376
-4.8405 -0.9204 0.4358
-3.1927 6.2732 5.8593
Ca Al Pd
2 4 2
Direct
0.5000 0.5000 0.0000
0.2500 0.7500 0.5000
0.8468 0.1250 0.2500
0.9032 0.6250 0.2500
0.3750 0.1532 0.7500
0.8750 0.0968 0.7500
0.0000 0.0000 0.0000
0.7500 0.2500 0.5000



(13)
CaAlPd6, relaxed, DFT GGA-PBE; ΔE_f = -0.39 eV/atom; theoretical density = 7.9 g/cm³
1.0
-3.7300 1.5312 0.6359
-1.6559 -3.5193 -1.2386
0.1821 -3.0268 8.3573
Ca Al Pd
1 1 6
Direct
0.0000 0.0000 0.0000
0.0000 0.0000 0.5000
0.5000 0.0000 0.6619
0.0000 0.5000 0.6619
0.5000 0.5000 0.1424
0.5000 0.5000 0.8576
0.0000 0.5000 0.3381
0.5000 0.0000 0.3381



(14)
CaAl2Pd, relaxed, DFT GGA-PBE; ΔE_f = -0.55 eV/atom; theoretical density = 3.8 g/cm³
1.0
-1.3309 3.3721 -2.3851
-3.7590 -0.2172 -2.1572
-4.2334 3.0356 2.7065
Ca Al Pd
1 2 1
Direct
0.5000 0.5000 0.5000
0.2987 0.2987 0.1038
0.7013 0.7013 0.8962
0.0000 0.0000 0.0000



(15)
CaAlPd3, relaxed, DFT GGA-PBE; ΔE_f = 0.69 eV/atom; theoretical density = 5.6 g/cm³; offset from the most stable computed form = 679 kJ/mol of formula units
1.0
-0.2315 -2.9882 -3.8387
4.8406 0.2397 -0.4786
0.4826 -3.8382 2.9587
Ca Al Pd
1 1 3
Direct
0.0000 0.0000 0.0000
0.5000 0.5000 0.5000
0.0000 0.5000 0.0000
0.0000 0.0000 0.5000
0.5000 0.0000 0.0000



(16)
CaAl2Pd2, relaxed, DFT GGA-PBE; ΔE_f = -0.76 eV/atom; theoretical density = 5.3 g/cm³
1.0
4.1204 0.0000 0.0000
0.0000 4.1204 0.0000
2.0602 2.0602 5.6873
Ca Al Pd
1 2 2
Direct
0.0000 0.0000 0.0000
0.7500 0.2500 0.5000
0.2500 0.7500 0.5000
0.3790 0.3790 0.2419
0.6210 0.6210 0.7581



(17)
CaAl2Pd2, relaxed, DFT GGA-PBE; ΔE_f = -0.70 eV/atom; theoretical density = 5.9 g/cm³
1.0
7.7095 0.0000 0.0000
0.0000 7.7095 0.0000
0.0000 0.0000 2.9131
Ca Al Pd
2 4 4
Direct
0.0000 0.0000 0.0000
0.5000 0.5000 0.0000
0.3776 0.8776 0.0000
0.8776 0.6224 0.0000
0.6224 0.1224 0.0000
0.1224 0.3776 0.0000
0.1741 0.6741 0.5000
0.6741 0.8259 0.5000
0.8259 0.3259 0.5000
0.3259 0.1741 0.5000



(18)
CaAl2Pd, relaxed, DFT GGA-PBE; ΔE_f = -0.66 eV/atom; theoretical density = 4.2 g/cm³
1.0
5.6506 0.0000 0.0000
0.0000 7.3119 0.0000
0.0000 0.0000 15.4596
Ca Al Pd
8 16 8
Direct
0.4698 0.2500 0.1342
0.9698 0.7500 0.3658
0.5302 0.7500 0.8658
0.0302 0.2500 0.6342
0.7653 0.2500 0.3955
0.2653 0.7500 0.1045
0.2347 0.7500 0.6045
0.7347 0.2500 0.8955
0.9528 0.0545 0.2122
0.4528 0.9455 0.2878
0.0472 0.5545 0.7878
0.5472 0.4455 0.7122
0.0472 0.9455 0.7878
0.5472 0.0545 0.7122
0.9528 0.4455 0.2122
0.4528 0.5545 0.2878
0.7805 0.5604 0.0430
0.2805 0.4396 0.4570
0.2195 0.0604 0.9570
0.7195 0.9396 0.5430
0.2195 0.4396 0.9570
0.7195 0.5604 0.5430
0.7805 0.9396 0.0430
0.2805 0.0604 0.4570
0.2303 0.2500 0.3119
0.7303 0.7500 0.1881
0.7697 0.7500 0.6881
0.2697 0.2500 0.8119
0.9822 0.2500 0.0716
0.4822 0.7500 0.4284
0.0178 0.7500 0.9284
0.5178 0.2500 0.5716



(19)
CaAlPd2, relaxed, DFT GGA-PBE; ΔE_f = -0.35 eV/atom; theoretical density = 4.8 g/cm³
1.0
-1.3137 -3.4648 -3.1695
2.0669 -3.3819 2.8403
-6.7188 -4.3965 3.8401
Ca Al Pd
2 2 4
Direct
0.0000 0.0000 0.0000
0.7500 0.2500 0.5000
0.5000 0.5000 0.0000
0.2500 0.7500 0.5000
0.4737 0.1250 0.2500
0.2763 0.6250 0.2500
0.3750 0.5263 0.7500
0.8750 0.7237 0.7500



(20)
CaAlPd2, relaxed, DFT GGA-PBE; ΔE_f = -0.77 eV/atom; theoretical density = 5.7 g/cm³
1.0
-2.0415 1.6404 -3.4769
-0.4323 -5.1456 -2.1739
-5.8433 -0.7992 3.0539
Ca Al Pd
2 2 4
Direct
0.5000 0.8470 0.0000
0.0000 0.1530 0.5000
0.5000 0.6479 0.5000
0.0000 0.3521 0.0000
0.0000 0.6536 0.7066
0.5000 0.3464 0.7934
0.0000 0.6536 0.2934
0.5000 0.3464 0.2066